Record 1
VASP calculation (PBE-GGA) on a relaxed CdHPt3 crystal.

a b c (Å): 5.7949 5.8057 5.8074
angles (deg): 60.53 60.98 60.52
Element x y z (fractional)
1 Cd 0.2472 0.2490 0.2465
2 Cd 0.7528 0.7510 0.7535
3 H 0.0732 0.0776 0.0725
4 H 0.9268 0.9224 0.9275
5 Pt 0.2569 0.7336 0.2574
6 Pt 0.2588 0.2573 0.7319
7 Pt 0.2675 0.7434 0.7413
8 Pt 0.7325 0.2566 0.2587
9 Pt 0.7412 0.7427 0.2681
10 Pt 0.7431 0.2664 0.7426

Space-group type = P-1, No. 2
Excess energy over the best structure of this formula in the dataset = 0.00 eV per formula unit

***

Record 2
VASP calculation (PBE-GGA) on a relaxed Cd3H2Pt3 crystal.

a b c (Å): 5.2825 5.2825 16.5885
angles (deg): 90.00 90.00 147.98
Element x y z (fractional)
1 Cd 0.0794 0.9206 0.6051
2 Cd 0.0794 0.9206 0.8949
3 Cd 0.3405 0.6595 0.7500
4 Cd 0.6595 0.3405 0.2500
5 Cd 0.9206 0.0794 0.1051
6 Cd 0.9206 0.0794 0.3949
7 H 0.1624 0.8376 0.1017
8 H 0.1624 0.8376 0.3983
9 H 0.8376 0.1624 0.6017
10 H 0.8376 0.1624 0.8983
11 Pt 0.3496 0.6504 0.5448
12 Pt 0.3496 0.6504 0.9552
13 Pt 0.3931 0.6069 0.2500
14 Pt 0.6069 0.3931 0.7500
15 Pt 0.6504 0.3496 0.0448
16 Pt 0.6504 0.3496 0.4552

Space-group type = Cmcm, No. 63

***

Record 3
VASP calculation (PBE-GGA) on a relaxed Cd2H2Pt crystal.

a b c (Å): 7.0263 7.0263 7.0263
angles (deg): 154.23 154.23 36.77
Element x y z (fractional)
1 Cd 0.1396 0.1396 0.0000
2 Cd 0.8604 0.8604 0.0000
3 H 0.2500 0.7500 0.5000
4 H 0.7500 0.2500 0.5000
5 Pt 0.5000 0.5000 0.0000

Space-group type = I4/mmm, No. 139
Excess energy over the best structure of this formula in the dataset = 0.74 eV per formula unit

***

Record 4
VASP calculation (PBE-GGA) on a relaxed CdH2Pt3 crystal.

a b c (Å): 5.0676 5.1209 5.7662
angles (deg): 90.00 90.11 90.00
Element x y z (fractional)
1 Cd 0.1753 0.2500 0.2500
2 Cd 0.8247 0.7500 0.7500
3 H 0.3531 0.5516 0.7516
4 H 0.3531 0.9484 0.7516
5 H 0.6469 0.0516 0.2484
6 H 0.6469 0.4484 0.2484
7 Pt 0.1895 0.2500 0.7496
8 Pt 0.3076 0.7500 0.0148
9 Pt 0.3090 0.7500 0.4875
10 Pt 0.6910 0.2500 0.5125
11 Pt 0.6924 0.2500 0.9852
12 Pt 0.8105 0.7500 0.2504

Space-group type = P2_1/m, No. 11

***

Record 5
VASP calculation (PBE-GGA) on a relaxed CdHPt3 crystal.

a b c (Å): 6.4862 6.4862 6.4862
angles (deg): 131.54 131.54 70.96
Element x y z (fractional)
1 Cd 0.1459 0.1459 0.0000
2 Cd 0.8541 0.8541 0.0000
3 H 0.5000 0.5000 0.0000
4 H 0.7500 0.2500 0.5000
5 Pt 0.1197 0.6197 0.5000
6 Pt 0.1299 0.3819 0.7481
7 Pt 0.3803 0.8803 0.5000
8 Pt 0.6181 0.3662 0.7481
9 Pt 0.6181 0.8701 0.2519
10 Pt 0.6338 0.3819 0.2519

Space-group type = I-4m2, No. 119
Excess energy over the best structure of this formula in the dataset = 1.20 eV per formula unit

***

Record 6
VASP calculation (PBE-GGA) on a relaxed Cd2H3Pt2 crystal.

a b c (Å): 4.6403 2.9310 8.0510
angles (deg): 90.00 105.04 90.00
Element x y z (fractional)
1 Cd 0.1285 0.0000 0.2556
2 Cd 0.8715 0.0000 0.7444
3 H 0.2870 0.5000 0.5728
4 H 0.5000 0.5000 0.0000
5 H 0.7130 0.5000 0.4272
6 Pt 0.3869 0.5000 0.7782
7 Pt 0.6131 0.5000 0.2218

Space-group type = P2/m, No. 10

***

Record 7
VASP calculation (PBE-GGA) on a relaxed CdH8Pt6 crystal.

a b c (Å): 5.3767 5.3767 5.3767
angles (deg): 88.93 88.93 88.93
Element x y z (fractional)
1 Cd 0.0000 0.0000 0.0000
2 H 0.1372 0.7864 0.4309
3 H 0.2136 0.5691 0.8628
4 H 0.3125 0.3125 0.3125
5 H 0.4309 0.1372 0.7864
6 H 0.5691 0.8628 0.2136
7 H 0.6875 0.6875 0.6875
8 H 0.7864 0.4309 0.1372
9 H 0.8628 0.2136 0.5691
10 Pt 0.1593 0.3258 0.6186
11 Pt 0.3258 0.6186 0.1593
12 Pt 0.3814 0.8407 0.6742
13 Pt 0.6186 0.1593 0.3258
14 Pt 0.6742 0.3814 0.8407
15 Pt 0.8407 0.6742 0.3814

Space-group type = R-3, No. 148

***

Record 8
VASP calculation (PBE-GGA) on a relaxed CdHPt3 crystal.

a b c (Å): 5.0161 5.8356 5.8399
angles (deg): 60.14 74.02 89.96
Element x y z (fractional)
1 Cd 0.2480 0.1383 0.4978
2 Cd 0.7520 0.8617 0.5022
3 H 0.1486 0.4492 0.8504
4 H 0.8514 0.5508 0.1496
5 Pt 0.2544 0.1165 0.0036
6 Pt 0.2602 0.6414 0.4756
7 Pt 0.2620 0.6402 0.9950
8 Pt 0.7380 0.3598 0.0050
9 Pt 0.7398 0.3586 0.5244
10 Pt 0.7456 0.8835 0.9964

Space-group type = P-1, No. 2
Excess energy over the best structure of this formula in the dataset = 0.10 eV per formula unit

***

no.,total DFT energy (no corrections) (eV/atom),V (Å³ per cell)
1,-4.6248,140
2,-3.5932,245
3,-2.6995,65
4,-4.3226,150
5,-4.3839,150
6,-3.4689,106
7,-4.1954,155
8,-4.6040,141